No. 1
A plane-wave DFT calculation with PBE was carried out for Er2PaRu2 after structural relaxation.

Values from the calculation:
- SG: C2/c (15)
- Polymorph energy (0 for the lowest one): 0.0 meV/atom
- ΔE_f: -0.51 eV per atom
- Magnetic moment: 0.00 μB/atom

Lattice parameters (Å, degrees): 5.8183 5.8183 7.8212 99.87 99.87 60.25
Last column: nearest neighbours and their distance in Å.
Fractional positions:
Er  0.0201  0.2831  0.1517  6 Ru 3.07-3.19, 2 Pa 3.40-3.44
Er  0.2831  0.0201  0.6517  6 Ru 3.07-3.19, 2 Pa 3.40-3.44
Er  0.7169  0.9799  0.3483  6 Ru 3.07-3.19, 2 Pa 3.40-3.44
Er  0.9799  0.7169  0.8483  6 Ru 3.07-3.19, 2 Pa 3.40-3.44
Pa  0.3581  0.6419  0.2500  4 Ru 2.47-2.73
Pa  0.6419  0.3581  0.7500  4 Ru 2.47-2.73
Ru  0.2365  0.5045  0.4873  2 Pa 2.47-2.73
Ru  0.4955  0.7635  0.0127  2 Pa 2.47-2.73
Ru  0.5045  0.2365  0.9873  2 Pa 2.47-2.73
Ru  0.7635  0.4955  0.5127  2 Pa 2.47-2.73

=====

No. 2
A plane-wave DFT calculation with PBE was carried out for AsPtAu after structural relaxation.

Values from the calculation:
- SG: P-6m2 (187)
- Polymorph energy (0 for the lowest one): 106.2 meV/atom
- ΔE_f: 0.05 eV per atom
- Magnetic moment: 0.00 μB/atom

Lattice parameters (Å, degrees): 4.5251 4.5251 2.9387 90.00 90.00 120.00
Last column: nearest neighbours and their distance in Å.
Fractional positions:
As  0.0000  0.0000  0.0000  3 Pt 2.61
Pt  0.3333  0.6667  0.0000  3 As 2.61
Au  0.6667  0.3333  0.5000  2 Au 2.94, 6 As 3.00, 6 Pt 3.00

=====

No. 3
A plane-wave DFT calculation with PBE was carried out for CeTl2InSe4 after structural relaxation.

Values from the calculation:
- SG: I-42m (121)
- Polymorph energy (0 for the lowest one): 50.8 meV/atom
- Raw formation energy: -821 meV/atom
- Magnetic moment: 0.13 μB/atom

Lattice parameters (Å, degrees): 6.7476 6.7476 6.7476 107.18 107.18 114.15
Last column: nearest neighbours and their distance in Å.
Fractional positions:
Ce  0.0000  0.0000  0.0000  4 Se 2.91
Tl  0.0000  0.5000  0.5000  8 Se 3.35-3.57, 2 Tl 3.67
Tl  0.5000  0.0000  0.5000  8 Se 3.35-3.57, 2 Tl 3.67
In  0.5000  0.5000  0.0000  4 Se 2.65
Se  0.0931  0.0931  0.6319  1 In 2.65, 1 Ce 2.91
Se  0.4612  0.4612  0.3681  1 In 2.65, 1 Ce 2.91
Se  0.5388  0.9069  0.0000  1 In 2.65, 1 Ce 2.91
Se  0.9069  0.5388  0.0000  1 In 2.65, 1 Ce 2.91

=====

No. 4
A plane-wave DFT calculation with PBE was carried out for U2Al8Ir after structural relaxation.

Values from the calculation:
- SG: P4/mmm (123)
- ΔE_f: -0.35 eV per atom
- Magnetic moment: 0.36 μB/atom

Lattice parameters (Å, degrees): 4.2796 4.2796 11.1509 90.00 90.00 90.00
Last column: nearest neighbours and their distance in Å.
Fractional positions:
U  0.0000  0.0000  0.1893  12 Al 2.99-3.03
U  0.0000  0.0000  0.8107  12 Al 2.99-3.03
Al  0.0000  0.5000  0.0000  4 U 3.01, 8 Al 3.03
Al  0.0000  0.5000  0.3766  2 Ir 2.54, 1 Al 2.75
Al  0.0000  0.5000  0.6234  2 Ir 2.54, 1 Al 2.75
Al  0.5000  0.0000  0.0000  4 U 3.01, 8 Al 3.03
Al  0.5000  0.0000  0.3766  2 Ir 2.54, 1 Al 2.75
Al  0.5000  0.0000  0.6234  2 Ir 2.54, 1 Al 2.75
Al  0.5000  0.5000  0.1918  8 Al 2.97-3.03, 4 U 3.03
Al  0.5000  0.5000  0.8082  8 Al 2.97-3.03, 4 U 3.03
Ir  0.0000  0.0000  0.5000  8 Al 2.54

=====

No. 5
A plane-wave DFT calculation with PBE was carried out for Zn2Fe3 after structural relaxation.

Values from the calculation:
- SG: P-3m1 (164)
- Polymorph energy (0 for the lowest one): 391.5 meV/atom
- ΔE_f: 0.43 eV per atom
- Magnetic moment: 1.40 μB/atom

Lattice parameters (Å, degrees): 4.0138 4.0138 4.9821 90.00 90.00 120.00
Last column: nearest neighbours and their distance in Å.
Fractional positions:
Zn  0.3333  0.6667  0.3382  8 Fe 2.41-2.57
Zn  0.6667  0.3333  0.6618  8 Fe 2.41-2.57
Fe  0.0000  0.0000  0.5000  6 Zn 2.45
Fe  0.3333  0.6667  0.8539  5 Zn 2.41-2.57
Fe  0.6667  0.3333  0.1461  5 Zn 2.41-2.57

=====

No. 6
A plane-wave DFT calculation with PBE was carried out for FeB2Sb after structural relaxation.

Values from the calculation:
- SG: I4_1/amd (141)
- Raw formation energy: 460 meV/atom
- Magnetic moment: 0.00 μB/atom

Lattice parameters (Å, degrees): 7.6956 7.6956 7.6956 152.38 152.38 39.46
Last column: nearest neighbours and their distance in Å.
Fractional positions:
Fe  0.3750  0.6250  0.7500  4 B 2.03
Fe  0.6250  0.3750  0.2500  4 B 2.03
B  0.0000  0.5000  0.5000  2 B 1.84, 2 Fe 2.03
B  0.5000  0.0000  0.0000  2 B 1.84, 2 Fe 2.03
B  0.5000  0.5000  0.0000  2 B 1.84, 2 Fe 2.03
B  0.5000  0.5000  0.5000  2 B 1.84, 2 Fe 2.03
Sb  0.1250  0.8750  0.2500  4 Fe 2.60, 8 B 2.74
Sb  0.8750  0.1250  0.7500  4 Fe 2.60, 8 B 2.74

=====

No. 7
A plane-wave DFT calculation with PBE was carried out for MgBPd6 after structural relaxation.

Values from the calculation:
- SG: R-3m (166)
- ΔE_f: -0.24 eV per atom
- Magnetic moment: 0.00 μB/atom

Lattice parameters (Å, degrees): 5.0818 5.0818 5.0818 100.01 100.01 100.01
Last column: nearest neighbours and their distance in Å.
Fractional positions:
Mg  0.0000  0.0000  0.0000  12 Pd 2.78-2.96
B  0.5000  0.5000  0.5000  6 Pd 2.06
Pd  0.2121  0.2121  0.5943  1 B 2.06
Pd  0.2121  0.5943  0.2121  1 B 2.06
Pd  0.4057  0.7879  0.7879  1 B 2.06
Pd  0.5943  0.2121  0.2121  1 B 2.06
Pd  0.7879  0.4057  0.7879  1 B 2.06
Pd  0.7879  0.7879  0.4057  1 B 2.06

=====

No. 8
A plane-wave DFT calculation with PBE was carried out for CaPmNdAl after structural relaxation.

Values from the calculation:
- SG: F-43m (216)
- ΔE_f: -0.08 eV per atom
- Magnetic moment: 0.00 μB/atom

Lattice parameters (Å, degrees): 5.5057 5.5057 5.5057 60.00 60.00 60.00
Last column: nearest neighbours and their distance in Å.
Fractional positions:
Ca  0.0000  0.0000  0.0000  4 Nd 3.37, 4 Pm 3.37
Pm  0.2500  0.2500  0.2500  4 Ca 3.37, 4 Al 3.37
Nd  0.7500  0.7500  0.7500  4 Ca 3.37, 4 Al 3.37
Al  0.5000  0.5000  0.5000  4 Nd 3.37, 4 Pm 3.37